[1]
Here is crystalline Tl2ZnSn at its relaxed geometry from the Open Quantum Materials Database. Energies are from GGA-PBE.

abc: 5.3493 5.3493 5.3493
angles: 60.00 60.00 60.00
Closest atoms and distances in Å follow each position.
Fractional coordinates of all 4 atoms:
Tl1 0.0000 0.0000 0.0000  4 Tl 3.28, 4 Zn 3.28
Tl2 0.7500 0.7500 0.7500  4 Tl 3.28, 4 Sn 3.28
Sn1 0.5000 0.5000 0.5000  4 Tl 3.28, 4 Zn 3.28
Zn1 0.2500 0.2500 0.2500  4 Tl 3.28, 4 Sn 3.28

total DFT energy (no corrections) = -2.3599 eV/atom
symmetry = F-43m (216)


[2]
Here is crystalline Tl2Zn2Sn3 at its relaxed geometry from the Open Quantum Materials Database. Energies are from GGA-PBE.

abc: 8.0766 8.0766 8.0766
angles: 38.05 38.05 38.05
Closest atoms and distances in Å follow each position.
Fractional coordinates of all 7 atoms:
Tl1 0.7661 0.7661 0.7661  6 Zn 3.26, 5 Sn 3.39-3.49, 3 Tl 3.61
Tl2 0.1863 0.1863 0.1863  4 Zn 3.12-3.14, 3 Sn 3.38
Sn1 0.9185 0.9185 0.9185  1 Zn 2.89, 3 Sn 3.11
Sn2 0.6152 0.6152 0.6152  1 Zn 2.93, 3 Sn 3.11
Sn3 0.3567 0.3567 0.3567  4 Zn 2.87-3.09
Zn1 0.4846 0.4846 0.4846  2 Sn 2.87-2.93, 3 Tl 3.14
Zn2 0.0474 0.0474 0.0474  4 Sn 2.89-3.09, 1 Tl 3.12

total DFT energy (no corrections) = -2.6282 eV/atom
symmetry = R3m (160)